Here is a relaxed NaZnFe2F6 crystal from Alexandria via LeMat-Bulk. Energies are from GGA+U.

Properties
SG: No. 1
N(E_F) in states/eV/f.u.: 1.65
Calculated density in g/cm3: 3.9
Total DFT energy (no corrections) in eV per atom: -4.71

Unit cell a=5.6226 b=5.6907 c=5.7399 alpha=61.11 beta=89.82 gamma=60.52
With the nearest neighbours (Å) after each atom.
Positions (direct):
1 Na 0.0000 0.0000 0.0000  6 F 2.28-2.51
2 Zn 0.5040 0.9700 0.5280  4 F 2.20-2.42
3 Fe 0.2789 0.4389 0.8457  6 F 2.05-2.16
4 Fe 0.7740 0.4466 0.3340  6 F 2.03-2.19
5 F 0.0375 0.5359 0.1185  2 Fe 2.03-2.16
6 F 0.1348 0.9385 0.6079  2 Fe 2.14-2.19, 1 Zn 2.20
7 F 0.4221 0.9391 0.1330  2 Fe 2.13-2.16, 1 Na 2.30
8 F 0.5547 0.3129 0.6071  2 Fe 2.08-2.15
9 F 0.6277 0.3207 0.1012  2 Fe 2.05-2.12
10 F 0.9329 0.5186 0.6251  2 Fe 2.05-2.19